{
  "formula": "BaGaIO2",
  "functional": "PBE",
  "state": "optimized geometry",
  "lattice_angstrom": [[4.9266, 0.0000, 0.0000], [0.0000, 4.9266, 0.0000], [0.0000, 0.0000, 7.3337]],
  "species": ["Ba", "Ga", "I", "O", "O"],
  "fractional_positions": [[0.0000, 0.0000, 0.0000], [0.5000, 0.5000, 0.5000], [0.0000, 0.0000, 0.5000], [0.0000, 0.5000, 0.0000], [0.5000, 0.0000, 0.0000]],
  "formation_energy_uncorrected_ev_per_atom": -0.582,
  "e_tot_ev_per_fu": -19.33,
  "sg": "P4/mmm, No. 123",
  "n_ef_per_ev_cell": 1.3,
  "magmom_total_mub_per_fu": 2.0
}